1.
Density functional theory data (PBE-GGA) for a relaxed HoPuSb crystal.

Geometry as CIF:
```
data_HoPuSb
_chemical_formula_sum 'Ho2 Pu2 Sb2'
_cell_length_a 4.309
_cell_length_b 4.309
_cell_length_c 8.718
_cell_angle_alpha 90.01
_cell_angle_beta 89.99
_cell_angle_gamma 90.00
_symmetry_space_group_name_H-M 'P 1'
_symmetry_Int_Tables_number 1
loop_
_symmetry_equiv_pos_as_xyz
'x,y,z'
loop_
_atom_site_label
_atom_site_fract_x
_atom_site_fract_y
_atom_site_fract_z
Ho1 0.250 0.750 0.645
Ho2 0.750 0.250 0.355
Pu1 0.750 0.750 0.000
Pu2 0.250 0.250 0.000
Sb1 0.750 0.250 0.712
Sb2 0.250 0.750 0.288
```

Results
Energy relative to the elements, uncorrected: -0.692 eV/atom
Volume: 161.9 Å³/cell
Magnetic moment: 11.2 μB per cell
Fermi-level density of states: 11.680 states/eV/cell
Total energy: -8.369 eV per atom

2.
Density functional theory data (PBE-GGA) for a relaxed TbSnTe3Au crystal.

Geometry as CIF:
```
data_TbSnTe3Au
_chemical_formula_sum 'Tb2 Sn2 Te6 Au2'
_cell_length_a 4.294
_cell_length_b 8.683
_cell_length_c 10.153
_cell_angle_alpha 104.63
_cell_angle_beta 90.00
_cell_angle_gamma 90.00
_symmetry_space_group_name_H-M 'P 1'
_symmetry_Int_Tables_number 1
loop_
_symmetry_equiv_pos_as_xyz
'x,y,z'
loop_
_atom_site_label
_atom_site_fract_x
_atom_site_fract_y
_atom_site_fract_z
Tb1 0.250 0.686 0.179
Tb2 0.750 0.314 0.821
Sn1 0.250 0.210 0.266
Sn2 0.750 0.790 0.734
Te1 0.750 0.926 0.137
Te2 0.250 0.074 0.863
Te3 0.250 0.729 0.489
Te4 0.750 0.271 0.511
Te5 0.750 0.420 0.143
Te6 0.250 0.580 0.857
Au1 0.250 0.089 0.594
Au2 0.750 0.911 0.406
```

Results
Energy relative to the elements, uncorrected: -0.654 eV/atom
Volume: 366.3 Å³/cell
Magnetic moment: 0.0 μB per cell
Total energy: -4.210 eV per atom

3.
Density functional theory data (PBE-GGA) for a relaxed Sc6Si7Ni16 crystal.

Geometry as CIF:
```
data_Sc6Si7Ni16
_chemical_formula_sum 'Sc6 Si7 Ni16'
_cell_length_a 8.090
_cell_length_b 8.090
_cell_length_c 8.090
_cell_angle_alpha 60.00
_cell_angle_beta 60.00
_cell_angle_gamma 60.00
_symmetry_space_group_name_H-M 'P 1'
_symmetry_Int_Tables_number 1
loop_
_symmetry_equiv_pos_as_xyz
'x,y,z'
loop_
_atom_site_label
_atom_site_fract_x
_atom_site_fract_y
_atom_site_fract_z
Sc1 0.707 0.707 0.293
Sc2 0.293 0.707 0.293
Sc3 0.707 0.293 0.293
Sc4 0.293 0.293 0.707
Sc5 0.707 0.293 0.707
Sc6 0.293 0.707 0.707
Si1 0.000 0.000 0.000
Si2 0.000 0.000 0.500
Si3 0.500 0.000 0.500
Si4 0.000 0.500 0.500
Si5 0.500 0.500 0.000
Si6 0.000 0.500 0.000
Si7 0.500 0.000 0.000
Ni1 0.881 0.881 0.357
Ni2 0.881 0.357 0.881
Ni3 0.357 0.881 0.881
Ni4 0.881 0.881 0.881
Ni5 0.119 0.119 0.643
Ni6 0.119 0.643 0.119
Ni7 0.643 0.119 0.119
Ni8 0.119 0.119 0.119
Ni9 0.669 0.669 0.993
Ni10 0.669 0.993 0.669
Ni11 0.993 0.669 0.669
Ni12 0.669 0.669 0.669
Ni13 0.331 0.331 0.007
Ni14 0.331 0.007 0.331
Ni15 0.007 0.331 0.331
Ni16 0.331 0.331 0.331
```

Results
Energy relative to the elements, uncorrected: -0.762 eV/atom
Volume: 374.4 Å³/cell
Magnetic moment: 0.0 μB per cell
Fermi-level density of states: 20.908 states/eV/cell
Total energy: -6.570 eV per atom

4.
Density functional theory data (PBE-GGA) for a relaxed Cs3YBi2 crystal.

Geometry as CIF:
```
data_Cs3YBi2
_chemical_formula_sum 'Cs6 Y2 Bi4'
_cell_length_a 5.531
_cell_length_b 11.109
_cell_length_c 11.434
_cell_angle_alpha 106.11
_cell_angle_beta 90.00
_cell_angle_gamma 104.42
_symmetry_space_group_name_H-M 'P 1'
_symmetry_Int_Tables_number 1
loop_
_symmetry_equiv_pos_as_xyz
'x,y,z'
loop_
_atom_site_label
_atom_site_fract_x
_atom_site_fract_y
_atom_site_fract_z
Cs1 0.939 0.878 0.820
Cs2 0.061 0.122 0.180
Cs3 0.316 0.633 0.946
Cs4 0.684 0.367 0.054
Cs5 0.203 0.405 0.575
Cs6 0.797 0.595 0.425
Y1 0.560 0.121 0.666
Y2 0.440 0.879 0.334
Bi1 0.115 0.229 0.818
Bi2 0.885 0.771 0.182
Bi3 0.410 0.819 0.585
Bi4 0.590 0.181 0.415
```

Results
Volume: 652.0 Å³/cell
Magnetic moment: 0.0 μB per cell
Fermi-level density of states: 0.692 states/eV/cell
Total energy: -3.222 eV per atom

5.
Density functional theory data (PBE-GGA) for a relaxed SrLa crystal.

Geometry as CIF:
```
data_SrLa
_chemical_formula_sum 'Sr2 La2'
_cell_length_a 3.926
_cell_length_b 3.926
_cell_length_c 11.551
_cell_angle_alpha 90.00
_cell_angle_beta 90.00
_cell_angle_gamma 90.05
_symmetry_space_group_name_H-M 'P 1'
_symmetry_Int_Tables_number 1
loop_
_symmetry_equiv_pos_as_xyz
'x,y,z'
loop_
_atom_site_label
_atom_site_fract_x
_atom_site_fract_y
_atom_site_fract_z
Sr1 0.000 0.000 0.517
Sr2 0.500 0.500 0.233
La1 0.000 0.000 0.977
La2 0.500 0.500 0.773
```

Results
Volume: 178.1 Å³/cell
Magnetic moment: 0.0 μB per cell
Fermi-level density of states: 4.649 states/eV/cell
Total energy: -3.243 eV per atom

6.
Density functional theory data (PBE-GGA) for a relaxed Re2Tc2H crystal.

Geometry as CIF:
```
data_Re2Tc2H
_chemical_formula_sum 'Re4 Tc4 H2'
_cell_length_a 2.816
_cell_length_b 2.816
_cell_length_c 16.400
_cell_angle_alpha 94.92
_cell_angle_beta 94.92
_cell_angle_gamma 90.00
_symmetry_space_group_name_H-M 'P 1'
_symmetry_Int_Tables_number 1
loop_
_symmetry_equiv_pos_as_xyz
'x,y,z'
loop_
_atom_site_label
_atom_site_fract_x
_atom_site_fract_y
_atom_site_fract_z
Re1 0.840 0.840 0.680
Re2 0.090 0.590 0.180
Re3 0.410 0.910 0.820
Re4 0.160 0.160 0.320
Tc1 0.964 0.464 0.928
Tc2 0.714 0.714 0.428
Tc3 0.286 0.286 0.572
Tc4 0.536 0.036 0.072
H1 0.500 0.500 0.000
H2 0.750 0.250 0.500
```

Results
Volume: 129.1 Å³/cell
Magnetic moment: 0.0 μB per cell
Fermi-level density of states: 9.141 states/eV/cell
Total energy: -9.578 eV per atom

7.
Density functional theory data (PBE-GGA) for a relaxed K2LiFe crystal.

Geometry as CIF:
```
data_K2LiFe
_chemical_formula_sum 'K2 Li1 Fe1'
_cell_length_a 6.237
_cell_length_b 6.237
_cell_length_c 3.828
_cell_angle_alpha 90.11
_cell_angle_beta 90.11
_cell_angle_gamma 100.73
_symmetry_space_group_name_H-M 'P 1'
_symmetry_Int_Tables_number 1
loop_
_symmetry_equiv_pos_as_xyz
'x,y,z'
loop_
_atom_site_label
_atom_site_fract_x
_atom_site_fract_y
_atom_site_fract_z
Fe1 0.000 0.500 0.500
K1 0.000 0.000 0.000
K2 0.500 0.500 0.000
Li1 0.500 0.000 0.500
```

Results
Volume: 146.3 Å³/cell
Magnetic moment: 3.1 μB per cell
Fermi-level density of states: 3.187 states/eV/cell
Total energy: -2.300 eV per atom

8.
Density functional theory data (PBE-GGA) for a relaxed Rb3Zn2Au3 crystal.

Geometry as CIF:
```
data_Rb3Zn2Au3
_chemical_formula_sum 'Rb12 Zn8 Au12'
_cell_length_a 6.766
_cell_length_b 9.143
_cell_length_c 15.885
_cell_angle_alpha 90.00
_cell_angle_beta 90.00
_cell_angle_gamma 90.00
_symmetry_space_group_name_H-M 'P 1'
_symmetry_Int_Tables_number 1
loop_
_symmetry_equiv_pos_as_xyz
'x,y,z'
loop_
_atom_site_label
_atom_site_fract_x
_atom_site_fract_y
_atom_site_fract_z
Rb1 0.124 0.456 0.392
Rb2 0.624 0.044 0.608
Rb3 0.876 0.544 0.892
Rb4 0.376 0.956 0.108
Rb5 0.876 0.544 0.608
Rb6 0.376 0.956 0.392
Rb7 0.124 0.456 0.108
Rb8 0.624 0.044 0.892
Rb9 0.565 0.285 0.250
Rb10 0.065 0.215 0.750
Rb11 0.435 0.715 0.750
Rb12 0.935 0.785 0.250
Zn1 0.897 0.111 0.415
Zn2 0.397 0.389 0.585
Zn3 0.103 0.889 0.915
Zn4 0.603 0.611 0.085
Zn5 0.103 0.889 0.585
Zn6 0.603 0.611 0.415
Zn7 0.897 0.111 0.085
Zn8 0.397 0.389 0.915
Au1 0.026 0.144 0.250
Au2 0.526 0.356 0.750
Au3 0.974 0.856 0.750
Au4 0.474 0.644 0.250
Au5 0.647 0.326 0.456
Au6 0.147 0.174 0.544
Au7 0.353 0.674 0.956
Au8 0.853 0.826 0.044
Au9 0.353 0.674 0.544
Au10 0.853 0.826 0.456
Au11 0.647 0.326 0.044
Au12 0.147 0.174 0.956
```

Results
Volume: 982.6 Å³/cell
Magnetic moment: 0.0 μB per cell
Fermi-level density of states: 10.947 states/eV/cell
Total energy: -2.133 eV per atom

9.
Density functional theory data (PBE-GGA) for a relaxed Tm3BiS6 crystal.

Geometry as CIF:
```
data_Tm3BiS6
_chemical_formula_sum 'Tm6 Bi2 S12'
_cell_length_a 6.791
_cell_length_b 8.461
_cell_length_c 8.461
_cell_angle_alpha 103.45
_cell_angle_beta 90.00
_cell_angle_gamma 90.00
_symmetry_space_group_name_H-M 'P 1'
_symmetry_Int_Tables_number 1
loop_
_symmetry_equiv_pos_as_xyz
'x,y,z'
loop_
_atom_site_label
_atom_site_fract_x
_atom_site_fract_y
_atom_site_fract_z
Tm1 0.479 0.914 0.710
Tm2 0.979 0.710 0.914
Tm3 0.388 0.406 0.594
Tm4 0.888 0.594 0.406
Tm5 0.979 0.086 0.290
Tm6 0.479 0.290 0.086
Bi1 0.996 0.179 0.821
Bi2 0.496 0.821 0.179
S1 0.178 0.697 0.635
S2 0.678 0.635 0.697
S3 0.211 0.445 0.902
S4 0.711 0.902 0.445
S5 0.257 0.010 0.990
S6 0.608 0.229 0.771
S7 0.108 0.771 0.229
S8 0.757 0.990 0.010
S9 0.211 0.098 0.555
S10 0.711 0.555 0.098
S11 0.178 0.365 0.303
S12 0.678 0.303 0.365
```

Results
Energy relative to the elements, uncorrected: -1.571 eV/atom
Volume: 472.9 Å³/cell
Magnetic moment: 0.0 μB per cell
Total energy: -5.777 eV per atom

10.
Density functional theory data (PBE-GGA) for a relaxed CaY4Cu5 crystal.

Geometry as CIF:
```
data_CaY4Cu5
_chemical_formula_sum 'Ca1 Y4 Cu5'
_cell_length_a 3.483
_cell_length_b 3.483
_cell_length_c 17.658
_cell_angle_alpha 90.00
_cell_angle_beta 90.00
_cell_angle_gamma 90.00
_symmetry_space_group_name_H-M 'P 1'
_symmetry_Int_Tables_number 1
loop_
_symmetry_equiv_pos_as_xyz
'x,y,z'
loop_
_atom_site_label
_atom_site_fract_x
_atom_site_fract_y
_atom_site_fract_z
Ca1 0.000 0.000 0.000
Y1 0.000 0.000 0.202
Y2 0.000 0.000 0.401
Y3 0.000 0.000 0.599
Y4 0.000 0.000 0.798
Cu1 0.500 0.500 0.111
Cu2 0.500 0.500 0.301
Cu3 0.500 0.500 0.500
Cu4 0.500 0.500 0.699
Cu5 0.500 0.500 0.889
```

Results
Volume: 214.2 Å³/cell
Magnetic moment: 0.0 μB per cell
Fermi-level density of states: 5.039 states/eV/cell
Total energy: -5.045 eV per atom

11.
Density functional theory data (PBE-GGA) for a relaxed Sr2LaS4 crystal.

Geometry as CIF:
```
data_Sr2LaS4
_chemical_formula_sum 'Sr4 La2 S8'
_cell_length_a 4.202
_cell_length_b 7.500
_cell_length_c 12.916
_cell_angle_alpha 90.00
_cell_angle_beta 90.00
_cell_angle_gamma 106.27
_symmetry_space_group_name_H-M 'P 1'
_symmetry_Int_Tables_number 1
loop_
_symmetry_equiv_pos_as_xyz
'x,y,z'
loop_
_atom_site_label
_atom_site_fract_x
_atom_site_fract_y
_atom_site_fract_z
Sr1 0.129 0.257 0.433
Sr2 0.871 0.743 0.933
Sr3 0.129 0.257 0.067
Sr4 0.871 0.743 0.567
La1 0.606 0.212 0.750
La2 0.394 0.788 0.250
S1 0.775 0.550 0.140
S2 0.775 0.550 0.360
S3 0.225 0.450 0.860
S4 0.225 0.450 0.640
S5 0.980 0.960 0.750
S6 0.020 0.040 0.250
S7 0.500 0.000 0.000
S8 0.500 0.000 0.500
```

Results
Energy relative to the elements, uncorrected: -1.830 eV/atom
Volume: 390.7 Å³/cell
Magnetic moment: 1.7 μB per cell
Fermi-level density of states: 2.270 states/eV/cell
Total energy: -5.373 eV per atom

12.
Density functional theory data (PBE-GGA) for a relaxed AcYHgPb crystal.

Geometry as CIF:
```
data_AcYHgPb
_chemical_formula_sum 'Ac1 Y1 Hg1 Pb1'
_cell_length_a 5.599
_cell_length_b 5.599
_cell_length_c 5.599
_cell_angle_alpha 60.00
_cell_angle_beta 60.00
_cell_angle_gamma 60.00
_symmetry_space_group_name_H-M 'P 1'
_symmetry_Int_Tables_number 1
loop_
_symmetry_equiv_pos_as_xyz
'x,y,z'
loop_
_atom_site_label
_atom_site_fract_x
_atom_site_fract_y
_atom_site_fract_z
Pb1 0.500 0.500 0.500
Y1 0.750 0.750 0.750
Ac1 0.250 0.250 0.250
Hg1 0.000 0.000 0.000
```

Results
Volume: 124.1 Å³/cell
Magnetic moment: 0.0 μB per cell
Fermi-level density of states: 5.090 states/eV/cell
Total energy: -4.094 eV per atom